No. 1
LaCu3As3, optimized geometry, DFT PBE; DOS at the Fermi energy = 4.62 states/eV/cell; symmetry = Pm-3n; calculated total energy = -4.7348 eV per atom; energy of formation = -0.283 eV/atom
1.0
6.612 0.000 0.000
0.000 6.612 0.000
0.000 0.000 6.612
La Cu As
2 6 6
Direct
0.000 0.000 0.000
0.500 0.500 0.500
0.000 0.250 0.500
0.000 0.750 0.500
0.250 0.500 0.000
0.500 0.000 0.250
0.500 0.000 0.750
0.750 0.500 0.000
0.000 0.500 0.250
0.000 0.500 0.750
0.250 0.000 0.500
0.500 0.250 0.000
0.500 0.750 0.000
0.750 0.000 0.500

---

No. 2
Tb5HoTm2Sc, optimized geometry, DFT PBE; DOS at the Fermi energy = 30.64 states/eV/cell; symmetry = Cmc2_1; calculated total energy = -4.6117 eV per atom; energy of formation = 0.167 eV/atom
1.0
2.750 -9.946 0.000
2.750 9.946 0.000
0.000 0.000 10.332
Tb Ho Tm Sc
10 2 4 2
Direct
0.017 0.983 0.500
0.123 0.877 0.779
0.200 0.800 0.465
0.225 0.775 0.079
0.483 0.517 0.774
0.517 0.483 0.274
0.775 0.225 0.579
0.800 0.200 0.965
0.877 0.123 0.279
0.983 0.017 0.000
0.092 0.908 0.216
0.908 0.092 0.716
0.386 0.614 0.497
0.389 0.611 0.068
0.611 0.389 0.568
0.614 0.386 0.997
0.305 0.695 0.774
0.695 0.305 0.274

---

No. 3
CePrHo2, optimized geometry, DFT PBE; DOS at the Fermi energy = 7.55 states/eV/cell; ΔE to the lowest computed polymorph = 3 meV per atom; symmetry = P4/mmm; calculated total energy = -4.9071 eV per atom; energy of formation = 0.060 eV/atom
1.0
3.568 0.000 0.000
0.000 3.568 0.000
0.000 0.000 9.992
Ce Pr Ho
1 1 2
Direct
0.000 0.000 0.000
0.000 0.000 0.500
0.500 0.500 0.239
0.500 0.500 0.761

---

No. 4
MnCuSe4, optimized geometry, DFT PBE; DOS at the Fermi energy = 1.76 states/eV/cell; ΔE to the lowest computed polymorph = 986 meV per atom; symmetry = F-43m; E_form (uncorrected) = 0.755 eV/atom; calculated total energy = -3.7791 eV per atom
1.0
0.000 3.990 3.990
3.990 0.000 3.990
3.990 3.990 0.000
Mn Cu Se
1 1 4
Direct
0.000 0.000 0.000
0.250 0.250 0.250
0.126 0.625 0.625
0.625 0.126 0.625
0.625 0.625 0.126
0.625 0.625 0.625

---

No. 5
Ba2Cd2Ge, optimized geometry, DFT PBE; DOS at the Fermi energy = 10.26 states/eV/cell; ΔE to the lowest computed polymorph = 301 meV per atom; symmetry = I4/mmm; calculated total energy = -2.1471 eV per atom; energy of formation = -0.088 eV/atom
1.0
6.742 0.000 0.000
0.000 6.742 0.000
0.000 0.000 8.276
Ba Cd Ge
4 4 2
Direct
0.000 0.500 0.250
0.000 0.500 0.750
0.500 0.000 0.250
0.500 0.000 0.750
0.000 0.000 0.166
0.000 0.000 0.834
0.500 0.500 0.334
0.500 0.500 0.666
0.000 0.000 0.500
0.500 0.500 0.000

---

No. 6
Ge2TeAsRh, optimized geometry, DFT PBE; DOS at the Fermi energy = 6.13 states/eV/cell; symmetry = P4/mmm; E_form (uncorrected) = 1.457 eV/atom; calculated total energy = -3.4189 eV per atom
1.0
5.212 0.000 0.000
0.000 5.212 0.000
0.000 0.000 5.252
Ge Te As Rh
2 1 1 1
Direct
0.000 0.500 0.000
0.500 0.000 0.000
0.000 0.000 0.000
0.000 0.000 0.500
0.500 0.500 0.500

---

No. 7
Nd6CdPt, optimized geometry, DFT PBE; DOS at the Fermi energy = 16.28 states/eV/cell; symmetry = C2/m; calculated total energy = -4.7306 eV per atom; energy of formation = -0.285 eV/atom
1.0
6.995 0.000 0.000
0.000 10.646 0.000
-1.318 0.000 6.553
Nd Cd Pt
12 2 2
Direct
0.133 0.206 0.267
0.133 0.794 0.267
0.240 0.500 0.095
0.260 0.000 0.905
0.367 0.294 0.733
0.367 0.706 0.733
0.633 0.294 0.267
0.633 0.706 0.267
0.740 0.000 0.095
0.760 0.500 0.905
0.867 0.206 0.733
0.867 0.794 0.733
0.000 0.500 0.500
0.500 0.000 0.500
0.000 0.000 0.500
0.500 0.500 0.500

---

No. 8
AsWBr2, optimized geometry, DFT PBE; DOS at the Fermi energy = 5.25 states/eV/cell; ΔE to the lowest computed polymorph = 444 meV per atom; symmetry = Imm2; E_form (uncorrected) = 0.417 eV/atom; calculated total energy = -4.8196 eV per atom
1.0
3.072 0.000 0.000
0.000 5.065 0.000
0.000 0.000 13.620
As W Br
2 2 4
Direct
0.000 0.000 0.000
0.500 0.500 0.500
0.000 0.500 0.349
0.500 0.000 0.849
0.000 0.000 0.696
0.000 0.500 0.862
0.500 0.000 0.362
0.500 0.500 0.196

---

No. 9
Ba5CaZn4, optimized geometry, DFT PBE; DOS at the Fermi energy = 10.55 states/eV/cell; symmetry = P4/mmm; calculated total energy = -1.7990 eV per atom; energy of formation = -0.128 eV/atom
1.0
4.131 0.000 0.000
0.000 4.131 0.000
0.000 0.000 22.315
Ba Ca Zn
5 1 4
Direct
0.000 0.000 0.000
0.000 0.000 0.184
0.000 0.000 0.364
0.000 0.000 0.636
0.000 0.000 0.816
0.500 0.500 0.500
0.500 0.500 0.092
0.500 0.500 0.279
0.500 0.500 0.721
0.500 0.500 0.908

---

No. 10
Cs2SbCl5O, optimized geometry, DFT PBE; symmetry = I4mm; E_form (uncorrected) = -1.337 eV/atom; calculated total energy = -3.5610 eV per atom
1.0
-3.662 3.662 5.454
3.662 -3.662 5.454
3.662 3.662 -5.454
Cs Sb Cl O
2 1 5 1
Direct
0.000 0.500 0.500
0.500 0.000 0.500
0.227 0.227 0.000
0.011 0.011 0.521
0.011 0.489 0.000
0.457 0.457 0.000
0.489 0.011 0.000
0.489 0.489 0.479
0.057 0.057 0.000

---

No. 11
CaCu3Ni, optimized geometry, DFT PBE; DOS at the Fermi energy = 1.81 states/eV/cell; ΔE to the lowest computed polymorph = 304 meV per atom; symmetry = Pm-3m; calculated total energy = -3.7796 eV per atom; energy of formation = 0.235 eV/atom
1.0
4.503 0.000 0.000
0.000 4.503 0.000
0.000 0.000 4.503
Ca Cu Ni
1 3 1
Direct
0.000 0.000 0.000
0.000 0.500 0.500
0.500 0.000 0.500
0.500 0.500 0.000
0.500 0.500 0.500

---

No. 12
UAlRu, optimized geometry, DFT PBE; DOS at the Fermi energy = 7.51 states/eV/cell; symmetry = I4mm; calculated total energy = -8.4259 eV per atom; energy of formation = -0.324 eV/atom
1.0
3.037 0.000 0.000
0.000 3.037 0.000
0.000 0.000 11.379
U Al Ru
2 2 2
Direct
0.000 0.000 0.000
0.500 0.500 0.500
0.000 0.000 0.294
0.500 0.500 0.794
0.000 0.000 0.664
0.500 0.500 0.164

---

No. 13
GaRu2W, optimized geometry, DFT PBE; DOS at the Fermi energy = 2.61 states/eV/cell; symmetry = P4/mmm; calculated total energy = -8.8333 eV per atom; energy of formation = -0.200 eV/atom
1.0
3.014 0.000 0.000
0.000 3.014 0.000
0.000 0.000 6.361
Ga Ru W
1 2 1
Direct
0.000 0.000 0.000
0.500 0.500 0.240
0.500 0.500 0.760
0.000 0.000 0.500

---

No. 14
BaSrN2O, optimized geometry, DFT PBE; DOS at the Fermi energy = 5.05 states/eV/cell; symmetry = P4/mmm; E_form (uncorrected) = 0.846 eV/atom; calculated total energy = -4.1971 eV per atom
1.0
4.271 0.000 0.000
0.000 4.271 0.000
0.000 0.000 9.649
Ba Sr N O
1 1 2 1
Direct
0.000 0.000 0.000
0.000 0.000 0.500
0.000 0.500 0.500
0.500 0.000 0.500
0.500 0.500 0.000

---

No. 15
MgVZnCo, optimized geometry, DFT PBE; DOS at the Fermi energy = 6.60 states/eV/cell; symmetry = F-43m; calculated total energy = -4.7254 eV per atom; energy of formation = 0.048 eV/atom
1.0
6.018 0.000 0.000
0.000 6.018 0.000
0.000 0.000 6.018
Mg V Zn Co
4 4 4 4
Direct
0.000 0.000 0.000
0.000 0.500 0.500
0.500 0.000 0.500
0.500 0.500 0.000
0.000 0.000 0.500
0.000 0.500 0.000
0.500 0.000 0.000
0.500 0.500 0.500
0.250 0.250 0.250
0.250 0.750 0.750
0.750 0.250 0.750
0.750 0.750 0.250
0.250 0.250 0.750
0.250 0.750 0.250
0.750 0.250 0.250
0.750 0.750 0.750

---

No. 16
Y2PdPt3, optimized geometry, DFT PBE; DOS at the Fermi energy = 15.01 states/eV/cell; ΔE to the lowest computed polymorph = 0 meV per atom; symmetry = Fdd2; calculated total energy = -6.9293 eV per atom; energy of formation = -0.889 eV/atom
1.0
0.000 8.481 6.207
4.767 0.000 6.207
4.767 8.481 0.000
Y Pd Pt
8 4 12
Direct
0.172 0.796 0.021
0.229 0.239 0.078
0.239 0.229 0.454
0.305 0.695 0.373
0.623 0.877 0.555
0.695 0.305 0.627
0.796 0.172 0.011
0.877 0.623 0.945
0.263 0.511 0.779
0.471 0.803 0.987
0.511 0.263 0.447
0.803 0.471 0.739
0.026 0.982 0.339
0.064 0.580 0.370
0.200 0.200 0.800
0.263 0.880 0.670
0.450 0.450 0.050
0.570 0.570 0.430
0.580 0.064 0.987
0.597 0.911 0.268
0.820 0.820 0.680
0.880 0.263 0.186
0.911 0.597 0.224
0.982 0.026 0.653

---

No. 17
Be2AgMo, optimized geometry, DFT PBE; DOS at the Fermi energy = 5.77 states/eV/cell; ΔE to the lowest computed polymorph = 203 meV per atom; symmetry = R-3m; calculated total energy = -4.9553 eV per atom; energy of formation = 0.328 eV/atom
1.0
2.747 0.000 0.000
-1.373 2.379 0.000
0.000 0.000 24.355
Be Ag Mo
6 3 3
Direct
0.000 0.000 0.249
0.000 0.000 0.751
0.333 0.667 0.417
0.333 0.667 0.916
0.667 0.333 0.084
0.667 0.333 0.583
0.000 0.000 0.000
0.333 0.667 0.667
0.667 0.333 0.333
0.000 0.000 0.500
0.333 0.667 0.167
0.667 0.333 0.833

---

No. 18
LiTiCdPb, optimized geometry, DFT PBE; DOS at the Fermi energy = 21.09 states/eV/cell; symmetry = F-43m; calculated total energy = -3.6031 eV per atom; energy of formation = 0.005 eV/atom
1.0
6.888 0.000 0.000
0.000 6.888 0.000
0.000 0.000 6.888
Li Ti Cd Pb
4 4 4 4
Direct
0.000 0.000 0.000
0.000 0.500 0.500
0.500 0.000 0.500
0.500 0.500 0.000
0.000 0.000 0.500
0.000 0.500 0.000
0.500 0.000 0.000
0.500 0.500 0.500
0.250 0.250 0.750
0.250 0.750 0.250
0.750 0.250 0.250
0.750 0.750 0.750
0.250 0.250 0.250
0.250 0.750 0.750
0.750 0.250 0.750
0.750 0.750 0.250

---

No. 19
ZnRu2Au, optimized geometry, DFT PBE; DOS at the Fermi energy = 7.71 states/eV/cell; symmetry = Imm2; calculated total energy = -5.5132 eV per atom; energy of formation = 0.263 eV/atom
1.0
3.020 0.000 0.000
0.000 4.524 0.000
0.000 0.000 8.769
Zn Ru Au
2 4 2
Direct
0.000 0.000 0.000
0.500 0.500 0.500
0.000 0.000 0.513
0.000 0.500 0.256
0.500 0.000 0.756
0.500 0.500 0.013
0.000 0.500 0.744
0.500 0.000 0.244

---

No. 20
KHg2Ru, optimized geometry, DFT PBE; DOS at the Fermi energy = 14.02 states/eV/cell; ΔE to the lowest computed polymorph = 182 meV per atom; symmetry = R-3m; calculated total energy = -2.1809 eV per atom; energy of formation = 0.563 eV/atom
1.0
3.235 0.000 0.000
-1.618 2.802 0.000
0.000 0.000 30.711
K Hg Ru
3 6 3
Direct
0.000 0.000 0.000
0.333 0.667 0.667
0.667 0.333 0.333
0.000 0.000 0.238
0.000 0.000 0.762
0.333 0.667 0.428
0.333 0.667 0.905
0.667 0.333 0.095
0.667 0.333 0.572
0.000 0.000 0.500
0.333 0.667 0.167
0.667 0.333 0.833

---

No. 21
Rb2YMgPd, optimized geometry, DFT PBE; DOS at the Fermi energy = 7.35 states/eV/cell; symmetry = P4/mmm; calculated total energy = -2.4061 eV per atom; energy of formation = 0.631 eV/atom
1.0
7.481 0.000 0.000
0.000 7.481 0.000
0.000 0.000 5.021
Rb Y Mg Pd
2 1 1 1
Direct
0.000 0.500 0.000
0.500 0.000 0.000
0.000 0.000 0.000
0.500 0.500 0.500
0.000 0.000 0.500

---

No. 22
Mn2HN, optimized geometry, DFT PBE; DOS at the Fermi energy = 4.98 states/eV/cell; ΔE to the lowest computed polymorph = 0 meV per atom; symmetry = R-3m; calculated total energy = -7.6631 eV per atom
1.0
2.785 0.000 0.000
-1.392 2.412 0.000
0.000 0.000 13.709
Mn H N
6 3 3
Direct
0.000 0.000 0.249
0.000 0.000 0.751
0.333 0.667 0.417
0.333 0.667 0.916
0.667 0.333 0.084
0.667 0.333 0.583
0.000 0.000 0.000
0.333 0.667 0.667
0.667 0.333 0.333
0.000 0.000 0.500
0.333 0.667 0.167
0.667 0.333 0.833

---

No. 23
Tl2GaSe2, optimized geometry, DFT PBE; DOS at the Fermi energy = 7.00 states/eV/cell; ΔE to the lowest computed polymorph = 150 meV per atom; symmetry = P4/mbm; E_form (uncorrected) = -0.143 eV/atom; calculated total energy = -3.0885 eV per atom
1.0
7.702 0.000 0.000
0.000 7.702 0.000
0.000 0.000 4.795
Tl Ga Se
4 2 4
Direct
0.145 0.355 0.000
0.355 0.855 0.000
0.645 0.145 0.000
0.855 0.645 0.000
0.000 0.000 0.500
0.500 0.500 0.500
0.180 0.680 0.500
0.320 0.180 0.500
0.680 0.820 0.500
0.820 0.320 0.500

---

No. 24
V2GaOs, optimized geometry, DFT PBE; DOS at the Fermi energy = 18.19 states/eV/cell; symmetry = I-42d; calculated total energy = -7.7433 eV per atom; energy of formation = 0.380 eV/atom
1.0
7.051 0.000 0.000
0.000 7.051 0.000
0.000 0.000 5.092
V Ga Os
8 4 4
Direct
0.212 0.750 0.125
0.250 0.212 0.875
0.250 0.288 0.375
0.288 0.750 0.625
0.712 0.250 0.625
0.750 0.712 0.375
0.750 0.788 0.875
0.788 0.250 0.125
0.000 0.000 0.500
0.000 0.500 0.750
0.500 0.000 0.250
0.500 0.500 0.000
0.000 0.000 0.000
0.000 0.500 0.250
0.500 0.000 0.750
0.500 0.500 0.500

---

No. 25
MgTe2W, optimized geometry, DFT PBE; DOS at the Fermi energy = 5.28 states/eV/cell; symmetry = Cm; E_form (uncorrected) = 0.251 eV/atom; calculated total energy = -4.9571 eV per atom
1.0
9.237 0.000 0.000
0.000 3.479 0.000
-1.096 0.000 6.564
Mg Te W
2 4 2
Direct
0.000 0.000 0.000
0.500 0.500 0.000
0.253 0.000 0.857
0.477 0.000 0.344
0.753 0.500 0.857
0.977 0.500 0.344
0.251 0.500 0.194
0.751 0.000 0.194

---

No. 26
MgHg3Te4, optimized geometry, DFT PBE; DOS at the Fermi energy = 1.89 states/eV/cell; ΔE to the lowest computed polymorph = 0 meV per atom; symmetry = I-42m; E_form (uncorrected) = -0.334 eV/atom; calculated total energy = -2.2178 eV per atom
1.0
6.610 0.000 0.000
0.000 6.610 0.000
0.000 0.000 13.211
Mg Hg Te
2 6 8
Direct
0.000 0.000 0.000
0.500 0.500 0.500
0.000 0.000 0.500
0.000 0.500 0.250
0.000 0.500 0.750
0.500 0.000 0.250
0.500 0.000 0.750
0.500 0.500 0.000
0.246 0.246 0.877
0.246 0.754 0.123
0.254 0.254 0.377
0.254 0.746 0.623
0.746 0.254 0.623
0.746 0.746 0.377
0.754 0.246 0.123
0.754 0.754 0.877